[1]
A plane-wave DFT calculation with PBE-GGA was carried out for a geometry-optimized YNbN2 structure.

Lattice parameters (Å, degrees): 5.745 5.745 5.745 90.00 90.00 90.00
Fractional coordinates of all 16 atoms:
1 Y 0.000 0.000 0.000
2 Y 0.000 0.500 0.500
3 Y 0.500 0.000 0.500
4 Y 0.500 0.500 0.000
5 Nb 0.000 0.000 0.500
6 Nb 0.000 0.500 0.000
7 Nb 0.500 0.000 0.000
8 Nb 0.500 0.500 0.500
9 N 0.250 0.250 0.250
10 N 0.250 0.250 0.750
11 N 0.250 0.750 0.250
12 N 0.250 0.750 0.750
13 N 0.750 0.250 0.250
14 N 0.750 0.250 0.750
15 N 0.750 0.750 0.250
16 N 0.750 0.750 0.750

Calculated values
Volume (Å³/atom): 11.85
SG: Fm-3m (225)
E (eV/atom): -8.69
Raw formation energy (eV per atom): -0.395

***

[2]
A plane-wave DFT calculation with PBE-GGA was carried out for a geometry-optimized NaCaFe3 structure.

Lattice parameters (Å, degrees): 4.709 4.709 4.709 90.00 90.00 90.00
Fractional coordinates of all 5 atoms:
1 Na 0.000 0.000 0.000
2 Ca 0.500 0.500 0.500
3 Fe 0.000 0.000 0.500
4 Fe 0.000 0.500 0.000
5 Fe 0.500 0.000 0.000

Calculated values
Volume (Å³/atom): 20.88
SG: Pm-3m (221)
E (eV/atom): -4.25

***

[3]
A plane-wave DFT calculation with PBE-GGA was carried out for a geometry-optimized Ba2NpZn2As4 structure.

Lattice parameters (Å, degrees): 8.064 8.064 7.680 108.78 108.78 30.55
Fractional coordinates of all 9 atoms:
1 Ba 0.134 0.134 0.077
2 Ba 0.866 0.866 0.923
3 Np 0.000 0.000 0.500
4 Zn 0.328 0.328 0.513
5 Zn 0.672 0.672 0.487
6 As 0.201 0.201 0.683
7 As 0.486 0.486 0.744
8 As 0.514 0.514 0.256
9 As 0.799 0.799 0.317

Calculated values
Volume (Å³/atom): 26.59
SG: C2/m (12)
E (eV/atom): -4.98

***

[4]
A plane-wave DFT calculation with PBE-GGA was carried out for a geometry-optimized Co2Ni8Pt3 structure.

Lattice parameters (Å, degrees): 9.437 9.437 9.437 28.23 28.23 28.23
Fractional coordinates of all 13 atoms:
1 Co 0.140 0.140 0.140
2 Co 0.860 0.860 0.860
3 Ni 0.223 0.223 0.223
4 Ni 0.235 0.235 0.733
5 Ni 0.235 0.733 0.235
6 Ni 0.267 0.765 0.765
7 Ni 0.733 0.235 0.235
8 Ni 0.765 0.267 0.765
9 Ni 0.765 0.765 0.267
10 Ni 0.777 0.777 0.777
11 Pt 0.316 0.316 0.316
12 Pt 0.500 0.500 0.500
13 Pt 0.684 0.684 0.684

Calculated values
Volume (Å³/atom): 12.78
SG: R-3m (166)
E (eV/atom): -5.87

***

[5]
A plane-wave DFT calculation with PBE-GGA was carried out for a geometry-optimized Dy4YCd3 structure.

Lattice parameters (Å, degrees): 9.540 9.540 9.540 32.44 32.44 32.44
Fractional coordinates of all 8 atoms:
1 Dy 0.113 0.113 0.113
2 Dy 0.370 0.370 0.370
3 Dy 0.630 0.630 0.630
4 Dy 0.887 0.887 0.887
5 Y 0.500 0.500 0.500
6 Cd 0.000 0.000 0.000
7 Cd 0.239 0.239 0.239
8 Cd 0.761 0.761 0.761

Calculated values
Volume (Å³/atom): 27.76
SG: R-3m (166)
E (eV/atom): -3.62

***

[6]
A plane-wave DFT calculation with PBE-GGA was carried out for a geometry-optimized Tc2NiAg structure.

Lattice parameters (Å, degrees): 3.159 4.097 8.932 90.00 90.00 90.00
Fractional coordinates of all 8 atoms:
1 Tc 0.000 0.000 0.239
2 Tc 0.000 0.000 0.761
3 Tc 0.500 0.500 0.261
4 Tc 0.500 0.500 0.739
5 Ni 0.000 0.500 0.500
6 Ni 0.500 0.000 0.000
7 Ag 0.000 0.500 0.000
8 Ag 0.500 0.000 0.500

Calculated values
Volume (Å³/atom): 14.45
SG: Immm (71)
E (eV/atom): -6.92

***

[7]
A plane-wave DFT calculation with PBE-GGA was carried out for a geometry-optimized LiPaAu2 structure.

Lattice parameters (Å, degrees): 3.144 3.144 27.599 90.00 90.00 120.00
Fractional coordinates of all 12 atoms:
1 Li 0.000 0.000 0.000
2 Li 0.333 0.667 0.667
3 Li 0.667 0.333 0.333
4 Pa 0.000 0.000 0.500
5 Pa 0.333 0.667 0.167
6 Pa 0.667 0.333 0.833
7 Au 0.000 0.000 0.259
8 Au 0.000 0.000 0.741
9 Au 0.333 0.667 0.408
10 Au 0.333 0.667 0.926
11 Au 0.667 0.333 0.074
12 Au 0.667 0.333 0.592

Calculated values
Volume (Å³/atom): 19.68
SG: R-3m (166)
E (eV/atom): -4.72

***

[8]
A plane-wave DFT calculation with PBE-GGA was carried out for a geometry-optimized YZn3Pd3 structure.

Lattice parameters (Å, degrees): 7.369 7.369 7.369 54.46 54.46 54.46
Fractional coordinates of all 14 atoms:
1 Y 0.160 0.160 0.160
2 Y 0.840 0.840 0.840
3 Zn 0.063 0.238 0.589
4 Zn 0.238 0.589 0.063
5 Zn 0.411 0.937 0.762
6 Zn 0.589 0.063 0.238
7 Zn 0.762 0.411 0.937
8 Zn 0.937 0.762 0.411
9 Pd 0.197 0.431 0.677
10 Pd 0.323 0.803 0.569
11 Pd 0.431 0.677 0.197
12 Pd 0.569 0.323 0.803
13 Pd 0.677 0.197 0.431
14 Pd 0.803 0.569 0.323

Calculated values
Volume (Å³/atom): 17.60
SG: R-3 (148)
E (eV/atom): -4.22